Entry 1:
A plane-wave DFT calculation with GGA-PBE was carried out for a relaxed structure of Tb4TmTh2.

Results
- DOS at the Fermi energy (states/eV/f.u.) = 9.47
- energy of formation from the pure elements (eV per atom) = 0.1920
- energy above the most stable polymorph in this dataset (eV/atom) = 0.166
- total DFT energy (no corrections) (eV/atom) = -5.213

Cell: 6.086 3.570 11.006 Å, 90.00 99.13 90.00°
Positions (direct):
Tb 0.082 0.000 0.211
Tb 0.404 0.500 0.743
Tb 0.596 0.500 0.257
Tb 0.918 0.000 0.789
Tm 0.500 0.000 0.000
Th 0.000 0.500 0.500
Th 0.500 0.000 0.500



Entry 2:
A plane-wave DFT calculation with GGA-PBE was carried out for a relaxed structure of SnWCl2.

Results
- DOS at the Fermi energy (states/eV/f.u.) = 5.11
- energy above the most stable polymorph in this dataset (eV/atom) = 1.003
- raw formation energy (meV/atom) = 1021.7
- total DFT energy (no corrections) (eV/atom) = -4.141

Cell: 4.754 4.754 4.754 Å, 60.00 60.00 60.00°
Positions (direct):
Sn 0.000 0.000 0.000
W 0.500 0.500 0.500
Cl 0.250 0.250 0.250
Cl 0.750 0.750 0.750



Entry 3:
A plane-wave DFT calculation with GGA-PBE was carried out for a relaxed structure of RbScRu3.

Results
- DOS at the Fermi energy (states/eV/f.u.) = 7.01
- energy of formation from the pure elements (eV per atom) = 1.5709
- energy above the most stable polymorph in this dataset (eV/atom) = 0.000
- total DFT energy (no corrections) (eV/atom) = -5.454

Cell: 4.931 4.931 4.931 Å, 90.00 90.00 90.00°
Positions (direct):
Rb 0.000 0.000 0.000
Sc 0.500 0.500 0.500
Ru 0.000 0.500 0.500
Ru 0.500 0.000 0.500
Ru 0.500 0.500 0.000



Entry 4:
A plane-wave DFT calculation with GGA-PBE was carried out for a relaxed structure of PmSmSe2O.

Results
- DOS at the Fermi energy (states/eV/f.u.) = 1.04
- raw formation energy (meV/atom) = -2386.3
- total DFT energy (no corrections) (eV/atom) = -6.666

Cell: 4.072 4.072 14.847 Å, 90.00 90.00 90.00°
Positions (direct):
Pm 0.250 0.250 0.078
Pm 0.750 0.750 0.922
Sm 0.250 0.250 0.629
Sm 0.750 0.750 0.371
Se 0.250 0.250 0.411
Se 0.250 0.250 0.810
Se 0.750 0.750 0.190
Se 0.750 0.750 0.589
O 0.250 0.750 0.000
O 0.750 0.250 0.000